1.
VASP calculation (PBE) on a relaxed structure of Y2TlSi.

Results
Raw total energy in eV per atom: -5.56
Total magnetization in μB/cell: 0.0
ΔE_f (raw) in eV/atom: -0.3837

```
data_Y2TlSi
_cell_length_a 4.880
_cell_length_b 4.880
_cell_length_c 4.119
_cell_angle_alpha 90.00
_cell_angle_beta 90.00
_cell_angle_gamma 90.00
_space_group_name_H-M_alt 'P 1'
_space_group_IT_number 1
loop_
_space_group_symop_operation_xyz
'x,y,z'
loop_
_atom_site_label
_atom_site_type_symbol
_atom_site_fract_x
_atom_site_fract_y
_atom_site_fract_z
Y1 Y 0.000 0.500 0.000
Y2 Y 0.500 0.000 0.000
Tl1 Tl 0.000 0.000 0.500
Si1 Si 0.500 0.500 0.500
```



2.
VASP calculation (PBE) on a relaxed structure of YTlSi2.

Results
Distance to the lowest polymorph of the same formula in meV/atom: 47
Raw total energy in eV per atom: -5.02
Total magnetization in μB/cell: 0.0
ΔE_f (raw) in eV/atom: -0.0984

```
data_YTlSi2
_cell_length_a 3.849
_cell_length_b 3.935
_cell_length_c 6.374
_cell_angle_alpha 90.00
_cell_angle_beta 90.00
_cell_angle_gamma 90.00
_space_group_name_H-M_alt 'P 1'
_space_group_IT_number 1
loop_
_space_group_symop_operation_xyz
'x,y,z'
loop_
_atom_site_label
_atom_site_type_symbol
_atom_site_fract_x
_atom_site_fract_y
_atom_site_fract_z
Y1 Y 0.000 0.000 0.000
Tl1 Tl 0.000 0.000 0.500
Si1 Si 0.500 0.500 0.184
Si2 Si 0.500 0.500 0.816
```



3.
VASP calculation (PBE) on a relaxed structure of YTlSi.

Results
Distance to the lowest polymorph of the same formula in meV/atom: 252
Raw total energy in eV per atom: -4.82
Total magnetization in μB/cell: 0.0
ΔE_f (raw) in eV/atom: -0.0685

```
data_YTlSi
_cell_length_a 6.299
_cell_length_b 6.299
_cell_length_c 6.299
_cell_angle_alpha 147.50
_cell_angle_beta 147.50
_cell_angle_gamma 46.62
_space_group_name_H-M_alt 'P 1'
_space_group_IT_number 1
loop_
_space_group_symop_operation_xyz
'x,y,z'
loop_
_atom_site_label
_atom_site_type_symbol
_atom_site_fract_x
_atom_site_fract_y
_atom_site_fract_z
Y1 Y 0.000 0.000 0.000
Tl1 Tl 0.704 0.704 0.000
Si1 Si 0.355 0.355 0.000
```



4.
VASP calculation (PBE) on a relaxed structure of Y2TlSi.

Results
Raw total energy in eV per atom: -5.22
Total magnetization in μB/cell: 0.0
ΔE_f (raw) in eV/atom: -0.0436

```
data_Y2TlSi
_cell_length_a 3.601
_cell_length_b 3.601
_cell_length_c 8.089
_cell_angle_alpha 90.00
_cell_angle_beta 90.00
_cell_angle_gamma 90.00
_space_group_name_H-M_alt 'P 1'
_space_group_IT_number 1
loop_
_space_group_symop_operation_xyz
'x,y,z'
loop_
_atom_site_label
_atom_site_type_symbol
_atom_site_fract_x
_atom_site_fract_y
_atom_site_fract_z
Y1 Y 0.000 0.000 0.000
Y2 Y 0.500 0.500 0.322
Tl1 Tl 0.500 0.500 0.734
Si1 Si 0.000 0.000 0.547
```